1.
DFT (GGA-PBE) results for crystalline MgZn2Tc at its relaxed geometry.

## Properties
E_tot in eV/atom: -3.565
Calculated formation energy in eV per atom: 0.0618

Lattice parameters (Å, degrees): 2.755 4.284 5.377 90.00 104.81 90.00
Space group Pm (No. 6)
Asymmetric unit:
Mg (0.000, 0.000, 0.000)
Zn (0.249, 0.000, 0.492)
Zn (0.384, 0.500, 0.767)
Tc (0.646, 0.500, 0.287)

***

2.
DFT (GGA-PBE) results for crystalline MgZn2Tc at its relaxed geometry.

## Properties
E_tot in eV/atom: -3.487
Calculated formation energy in eV per atom: 0.1400

Lattice parameters (Å, degrees): 2.965 4.552 9.203 90.00 90.00 90.00
Space group Immm (No. 71)
Asymmetric unit:
Mg (0.000, 0.000, 0.000)
Zn (0.000, 0.500, 0.239)
Tc (0.000, 0.000, 0.500)

***

- Which of these has the lowest calculated formation energy?
  number 1

***

- What is the formula in the second record?
  MgZn2Tc